Here is a relaxed LiAc2P crystal from the Alexandria database. Energies are from PBE.

a b c (Å): 5.4358 5.4358 5.4358
angles (deg): 60.00 60.00 60.00
Closest atoms and distances in Å follow each position.
Fractional coordinates of all 4 atoms:
P1 0.0000 0.0000 0.0000  8 Ac 3.33
Ac1 0.2500 0.2500 0.2500  4 Li 3.33, 4 P 3.33
Ac2 0.7500 0.7500 0.7500  4 Li 3.33, 4 P 3.33
Li1 0.5000 0.5000 0.5000  8 Ac 3.33

Results
The total energy is -4.211 eV/atom. The energy above the most stable polymorph in this dataset is 0.98 eV/f.u. As for the formation energy: -0.326 eV per atom. The volume is 28.39 Å³/atom. The spin magnetization comes out at 0.023 μB/f.u.